{"formula": "CoHF2", "functional": "PBE+U", "state": "optimized geometry", "polymorph_energy_ev_per_fu": 2.833, "rho_kg_m3": 4697, "magmom_total_mub_per_cell": 2.1, "total_energy_ev_per_fu": -14.28, "lattice": [[1.535, 0.000, 5.658], [-0.767, 1.329, 5.658], [-0.767, -1.329, 5.658]], "species": ["H", "Co", "F", "F"], "fractional_positions": [[0.500, 0.500, 0.500], [0.000, 0.000, 0.000], [0.110, 0.110, 0.110], [0.890, 0.890, 0.890]]}